# Ca3TcF (PBE, optimized geometry)
data_Ca3TcF
_symmetry_space_group_name_H-M 'P m -3 m'
_symmetry_Int_Tables_number 221
_symmetry_space_group_name_Hall '-P 4 2 3'
_cell_length_a 4.802
_cell_length_b 4.802
_cell_length_c 4.802
_cell_angle_alpha 90.00
_cell_angle_beta 90.00
_cell_angle_gamma 90.00
loop_
_atom_site_label
_atom_site_type_symbol
_atom_site_fract_x
_atom_site_fract_y
_atom_site_fract_z
Ca1 Ca 0.000 0.000 0.500
Tc1 Tc 0.500 0.500 0.500
F1 F 0.000 0.000 0.000
# Density of states at the Fermi level   0.63 states/eV per atom
# Excess energy over the best structure of this formula in the dataset   0 meV per atom
# M_tot   0.49 Bohr magnetons per cell
# Raw total energy   -4.286 eV/atom
# Formation energy from raw total energies   -637 meV per atom